The following is a GGA-PBE calculation of Li4InAg7 after structural relaxation, from the Alexandria database.

Values from the calculation:
M_tot = 0.0 μB per cell
E_form = -0.026 eV/atom

a = 10.547 Å, b = 5.139 Å, c = 9.904 Å
α = 90.00°, β = 120.26°, γ = 90.00°
Space group C2/m (No. 12)
One atom of each set of equivalent atoms:
Li (0.095, 0.000, 0.271)
Li (0.234, 0.000, 0.816)
In (0.000, 0.500, 0.500)
Ag (0.000, 0.000, 0.500)
Ag (0.045, 0.500, 0.879)
Ag (0.150, 0.000, 0.030)
Ag (0.211, 0.500, 0.417)